# SiNi2RhF (PBE with a Hubbard U, optimized geometry)
# Energy in eV/atom: -3.344
# Volume in Å³/cell: 66.9
# Total moment in μB/f.u.: 0.0
data_SiNi2RhF
_chemical_formula_sum 'Si1 Ni2 Rh1 F1'
_symmetry_space_group_name_H-M 'P 1'
_symmetry_Int_Tables_number 1
_cell_length_a 4.344
_cell_length_b 3.544
_cell_length_c 4.344
_cell_angle_alpha 90.00
_cell_angle_beta 90.00
_cell_angle_gamma 90.00
loop_
_symmetry_equiv_pos_as_xyz
'x,y,z'
loop_
_atom_site_label
_atom_site_fract_x
_atom_site_fract_y
_atom_site_fract_z
Ni1 0.500 0.000 0.000
Ni2 0.000 0.000 0.500
Si1 0.000 0.000 0.000
F1 0.000 0.500 0.000
Rh1 0.500 0.500 0.500